First-principles (PBE) data for crystalline Ag2BiAs at its relaxed geometry, as listed in Alexandria.

The formation energy comes out at 4.17 kcal/mol of atoms. As for the symmetry: P4/mmm (123). As for the total energy: -13.510 eV/f.u.

Unit cell a=3.269 b=3.269 c=8.214 alpha=90.00 beta=90.00 gamma=90.00
Fractional positions:
Ag 0.000 0.000 0.215
Ag 0.000 0.000 0.785
Bi 0.500 0.500 0.500
As 0.500 0.500 0.000



First-principles (PBE) data for crystalline Ag2Bi2As at its relaxed geometry, as listed in Alexandria.

The formation energy comes out at 5.71 kcal/mol of atoms. As for the symmetry: P4/mbm (127). As for the total energy: -16.875 eV/f.u. Its excess energy over the best structure of this formula in the dataset is 0.0334 eV/atom.

Unit cell a=8.707 b=8.707 c=3.314 alpha=90.00 beta=90.00 gamma=90.00
Fractional positions:
Ag 0.113 0.387 0.000
Ag 0.387 0.887 0.000
Ag 0.613 0.113 0.000
Ag 0.887 0.613 0.000
Bi 0.188 0.688 0.500
Bi 0.312 0.188 0.500
Bi 0.688 0.812 0.500
Bi 0.812 0.312 0.500
As 0.000 0.000 0.500
As 0.500 0.500 0.500



First-principles (PBE) data for crystalline AgBi2As at its relaxed geometry, as listed in Alexandria.

The formation energy comes out at 4.99 kcal/mol of atoms. As for the symmetry: I-42d (122). As for the total energy: -14.397 eV/f.u.

Unit cell a=6.580 b=6.580 c=12.793 alpha=90.00 beta=90.00 gamma=90.00
Fractional positions:
Ag 0.000 0.000 0.000
Ag 0.000 0.500 0.250
Ag 0.500 0.000 0.750
Ag 0.500 0.500 0.500
Bi 0.249 0.250 0.125
Bi 0.250 0.749 0.375
Bi 0.250 0.751 0.875
Bi 0.251 0.250 0.625
Bi 0.749 0.750 0.625
Bi 0.750 0.249 0.875
Bi 0.750 0.251 0.375
Bi 0.751 0.750 0.125
As 0.000 0.000 0.500
As 0.000 0.500 0.750
As 0.500 0.000 0.250
As 0.500 0.500 0.000



First-principles (PBE) data for crystalline AgBi2As2 at its relaxed geometry, as listed in Alexandria.

The formation energy comes out at 6.91 kcal/mol of atoms. As for the symmetry: P4/mbm (127). As for the total energy: -18.414 eV/f.u. Its excess energy over the best structure of this formula in the dataset is 0.0937 eV/atom.

Unit cell a=8.119 b=8.119 c=3.943 alpha=90.00 beta=90.00 gamma=90.00
Fractional positions:
Ag 0.000 0.000 0.000
Ag 0.500 0.500 0.000
Bi 0.156 0.344 0.000
Bi 0.344 0.844 0.000
Bi 0.656 0.156 0.000
Bi 0.844 0.656 0.000
As 0.160 0.660 0.500
As 0.340 0.160 0.500
As 0.660 0.840 0.500
As 0.840 0.340 0.500